Mo4H8N2O13, relaxed, DFT PBE+U; E = -6.233 eV/atom
1.0
8.569 0.000 0.000
-2.853 8.136 0.000
-2.983 -3.926 9.334
Mo H N O
8 16 4 26
Direct
0.015 0.332 0.057
0.109 0.269 0.737
0.294 0.738 0.282
0.414 0.353 0.072
0.586 0.647 0.928
0.706 0.262 0.718
0.891 0.731 0.263
0.985 0.668 0.943
0.182 0.833 0.749
0.236 0.102 0.405
0.241 0.294 0.507
0.256 0.271 0.349
0.268 0.708 0.668
0.360 0.931 0.709
0.387 0.851 0.840
0.431 0.291 0.486
0.569 0.709 0.514
0.613 0.149 0.160
0.640 0.069 0.291
0.732 0.292 0.332
0.744 0.729 0.651
0.759 0.706 0.493
0.764 0.898 0.595
0.818 0.167 0.251
0.291 0.240 0.438
0.298 0.830 0.741
0.702 0.170 0.259
0.709 0.760 0.562
0.011 0.454 0.863
0.024 0.246 0.190
0.128 0.375 0.618
0.145 0.228 0.955
0.147 0.086 0.672
0.149 0.864 0.328
0.204 0.805 0.080
0.284 0.538 0.141
0.323 0.663 0.423
0.364 0.439 0.885
0.450 0.350 0.242
0.461 0.179 0.994
0.495 0.089 0.665
0.505 0.911 0.335
0.539 0.821 0.006
0.550 0.650 0.758
0.636 0.561 0.115
0.677 0.337 0.577
0.716 0.462 0.859
0.796 0.195 0.920
0.851 0.136 0.672
0.853 0.914 0.328
0.855 0.772 0.045
0.872 0.625 0.382
0.976 0.754 0.810
0.989 0.546 0.137